Record 1
The following is a PBE calculation of a geometry-optimized La5Sm3In2 structure, from the Alexandria database.

Geometry as CIF:
```
data_La5Sm3In2
_chemical_formula_sum 'La10 Sm6 In4'
_cell_length_a 10.658
_cell_length_b 10.658
_cell_length_c 10.658
_cell_angle_alpha 102.68
_cell_angle_beta 88.75
_cell_angle_gamma 143.34
_space_group_name_H-M_alt 'P 1'
_space_group_IT_number 1
_space_group_name_Hall 'P 1'
loop_
_atom_site_label
_atom_site_type_symbol
_atom_site_fract_x
_atom_site_fract_y
_atom_site_fract_z
La1 La 0.150 0.128 0.277
La2 La 0.250 0.250 0.000
La3 La 0.250 0.501 0.251
La4 La 0.250 0.999 0.749
La5 La 0.350 0.628 0.978
La6 La 0.650 0.372 0.022
La7 La 0.750 0.001 0.251
La8 La 0.750 0.499 0.749
La9 La 0.750 0.750 0.000
La10 La 0.850 0.872 0.723
Sm1 Sm 0.237 0.387 0.624
Sm2 Sm 0.250 0.750 0.500
Sm3 Sm 0.263 0.887 0.150
Sm4 Sm 0.737 0.113 0.850
Sm5 Sm 0.750 0.250 0.500
Sm6 Sm 0.763 0.613 0.376
In1 In 0.150 0.624 0.775
In2 In 0.350 0.124 0.474
In3 In 0.650 0.876 0.526
In4 In 0.850 0.376 0.225
```

Raw total energy (eV/atom): -4.3730
V (Å³ per cell): 680.1
Spin magnetization (μB per atom): 0.000
Formation enthalpy at 0 K (eV per atom): 0.05

Record 2
The following is a PBE calculation of a geometry-optimized ZnPtIO2 structure, from the Alexandria database.

Geometry as CIF:
```
data_ZnPtIO2
_chemical_formula_sum 'Zn1 Pt1 I1 O2'
_cell_length_a 3.862
_cell_length_b 3.862
_cell_length_c 7.837
_cell_angle_alpha 90.00
_cell_angle_beta 90.00
_cell_angle_gamma 90.00
_space_group_name_H-M_alt 'P 1'
_space_group_IT_number 1
_space_group_name_Hall 'P 1'
loop_
_atom_site_label
_atom_site_type_symbol
_atom_site_fract_x
_atom_site_fract_y
_atom_site_fract_z
Zn1 Zn 0.000 0.000 0.000
Pt1 Pt 0.500 0.500 0.500
I1 I 0.500 0.500 0.000
O1 O 0.000 0.500 0.500
O2 O 0.500 0.000 0.500
```

Raw total energy (eV/atom): -3.7785
V (Å³ per cell): 116.9
Spin magnetization (μB per atom): 0.074
Energy above the lowest structure with this stoichiometry (meV/atom): 0